Material: H2S3Cl
Method: DFT, PBE
State: relaxed

a b c (Å): 3.911 4.868 16.705
angles (deg): 85.67 89.47 72.07
Atoms (fractional coordinates):
H1 0.110 0.303 0.332
H2 0.173 0.723 0.861
H3 0.827 0.277 0.139
H4 0.890 0.697 0.668
S1 0.200 0.304 0.487
S2 0.239 0.421 0.977
S3 0.338 0.405 0.374
S4 0.662 0.595 0.626
S5 0.761 0.579 0.023
S6 0.800 0.696 0.513
Cl1 0.133 0.910 0.799
Cl2 0.867 0.090 0.201

Results
final energy = -21.52 eV/f.u.
D(E_F) = 2.70 states/eV per cell